Pm3ZnIn | PBE | relaxed

```
data_Pm3ZnIn
_chemical_formula_sum 'Pm12 Zn4 In4'
_cell_length_a 5.3450
_cell_length_b 19.9868
_cell_length_c 5.3449
_cell_angle_alpha 90.00
_cell_angle_beta 90.00
_cell_angle_gamma 90.00
_space_group_name_H-M_alt 'C m c m'
_space_group_IT_number 63
_space_group_name_Hall '-C 2c 2'
loop_
_atom_site_label
_atom_site_type_symbol
_atom_site_fract_x
_atom_site_fract_y
_atom_site_fract_z
_atom_site_occupancy
Pm1 Pm 0.0000 0.0624 0.2500 1
Pm2 Pm 0.0000 0.2491 0.2500 1
Pm3 Pm 0.0000 0.4355 0.2500 1
Zn1 Zn 0.0000 0.3464 0.7500 1
In1 In 0.0000 0.1562 0.7500 1
```

Summary:
Calculated density in g cm⁻³: 7.2
Crystal system: orthorhombic
M_tot in μB/f.u.: 0.9
Formation energy from the elements in eV per atom: -0.2870